(1)
8
Lattice="-3.6332 3.6332 2.6141 3.6332 -3.6332 2.6141 3.6332 3.6332 -2.6141" Properties=species:S:1:pos:R:3 comment="YNi2Cl, optimized geometry, DFT PBE" volume_a3_per_atom=17.253 e_form_raw_ev_per_atom=-0.14 relative_energy_mev_per_atom=442 pbc="T T T"
Y 0.0000 0.0000 0.0000
Y 0.0000 3.6332 1.3070
Ni 1.8166 -1.4865 1.9606
Ni 2.1466 1.8166 0.6535
Ni 1.8166 5.1197 -0.6535
Ni 1.4865 1.8166 3.2676
Cl 3.6332 0.0000 1.3070
Cl 0.0000 0.0000 2.6141



(2)
4
Lattice="0.0000 3.3865 3.3865 3.3865 0.0000 3.3865 3.3865 3.3865 0.0000" Properties=species:S:1:pos:R:3 comment="YNiCl2, optimized geometry, DFT PBE" volume_a3_per_atom=19.419 e_form_raw_ev_per_atom=-0.53 relative_energy_mev_per_atom=492 pbc="T T T"
Y 0.0000 0.0000 0.0000
Ni 5.0797 5.0797 5.0797
Cl 1.6932 1.6932 1.6932
Cl 3.3865 3.3865 3.3865



(3)
8
Lattice="-2.8219 2.8219 5.7039 2.8219 -2.8219 5.7039 2.8219 2.8219 -5.7039" Properties=species:S:1:pos:R:3 comment="YNiCl2, optimized geometry, DFT PBE" volume_a3_per_atom=22.710 e_form_raw_ev_per_atom=-0.60 relative_energy_mev_per_atom=419 pbc="T T T"
Y 0.0000 0.0000 0.0000
Y 0.0000 2.8219 2.8520
Ni 2.8219 0.0000 2.8520
Ni 0.0000 0.0000 5.7039
Cl 1.4109 -1.0615 4.2779
Cl 1.7604 1.4109 1.4260
Cl 1.4109 3.8833 -1.4260
Cl 1.0615 1.4109 7.1299